Compound: VPb2CO
Source: Alexandria via LeMat-Bulk
Functional: GGA+U
Structure: optimized geometry

As for the magnetic moment: 2.25 μB/cell. The total energy is -4.8430 eV per atom. The calculation puts the calculated density at 7.6 Mg/m³.

The structure belongs to space group P4/mmm (No. 123); the cell edges are 5.4749, 5.4749 and 3.5987 Å and the angles 90.00°, 90.00° and 90.00°. The asymmetric unit holds V at (0.0000, 0.0000, 0.0000), Pb at (0.0000, 0.5000, 0.0000), C at (0.5000, 0.5000, 0.5000) and O at (0.0000, 0.0000, 0.5000).